Record 1
A relaxed structure of BaMn2Tc, computed with PBE.

The space group is R-3m (No. 166, hexagonal axes) and the conventional cell measures 4.2447, 4.2447 and 18.0398 Å, with angles of 90.00, 90.00 and 120.00 degrees. The distinct sites, in fractional coordinates, are Ba at (0.0000, 0.0000, 0.0000), Mn at (0.0000, 0.0000, 0.1911) and Tc at (0.0000, 0.0000, 0.5000).

The density of states at the Fermi level is 15.90 states/eV/cell. For the energy above the most stable polymorph in this dataset, the calculation gives 0.00 eV/f.u. For the size of the total moment, the calculation gives 14.8 μB per cell.

Record 2
A relaxed structure of SiTcW, computed with PBE.

The space group is I4mm (No. 107) and the conventional cell measures 2.986, 2.986 and 9.481 Å, with angles of 90.00, 90.00 and 90.00 degrees. The distinct sites, in fractional coordinates, are Si at (0.000, 0.000, 0.000), Tc at (0.000, 0.000, 0.353) and W at (0.000, 0.000, 0.672).

The density of states at the Fermi level is 3.67 states/eV/cell. For the energy above the most stable polymorph in this dataset, the calculation gives 0.00 eV/f.u. For the size of the total moment, the calculation gives 0.0 μB per cell.

Record 3
A relaxed structure of Tl2Ag2I, computed with PBE.

The space group is I4/mmm (No. 139) and the conventional cell measures 4.011, 4.011 and 18.863 Å, with angles of 90.00, 90.00 and 90.00 degrees. The distinct sites, in fractional coordinates, are Tl at (0.000, 0.000, 0.114), Ag at (0.000, 0.500, 0.250) and I at (0.000, 0.000, 0.500).

The density of states at the Fermi level is 2.07 states/eV/cell. For the energy above the most stable polymorph in this dataset, the calculation gives 0.00 eV/f.u. For the size of the total moment, the calculation gives 0.0 μB per cell.

Record 4
A relaxed structure of Ce4GeTe3, computed with PBE.

The space group is I4/mmm (No. 139) and the conventional cell measures 6.275, 6.275 and 12.551 Å, with angles of 90.00, 90.00 and 90.00 degrees. The distinct sites, in fractional coordinates, are Ce at (0.000, 0.000, 0.240), Ce at (0.000, 0.500, 0.000), Ge at (0.000, 0.000, 0.000), Te at (0.000, 0.000, 0.500) and Te at (0.000, 0.500, 0.250).

The density of states at the Fermi level is 54.57 states/eV/cell. For the energy above the most stable polymorph in this dataset, the calculation gives 0.10 eV/f.u. For the size of the total moment, the calculation gives 8.1 μB per cell.

Record 5
A relaxed structure of Pm12Nd5Dy, computed with PBE.

The space group is C2/m (No. 12) and the conventional cell measures 12.030, 17.466 and 5.902 Å, with angles of 90.00, 90.04 and 90.00 degrees. The distinct sites, in fractional coordinates, are Pm at (0.153, 0.179, 0.007), Pm at (0.153, 0.321, 0.493), Pm at (0.198, 0.000, 0.457), Pm at (0.202, 0.500, 0.044), Nd at (0.000, 0.136, 0.500), Nd at (0.000, 0.362, 0.000), Nd at (0.000, 0.500, 0.500) and Dy at (0.000, 0.000, 0.000).

The density of states at the Fermi level is 55.83 states/eV/cell. The value obtained for the electronic total energy is -168.0 eV for the cell shown. For the size of the total moment, the calculation gives 0.0 μB per cell.

Record 6
A relaxed structure of Pa2SiN5, computed with PBE.

The space group is P2_1/c (No. 14) and the conventional cell measures 9.229, 7.112 and 6.737 Å, with angles of 90.00, 105.74 and 90.00 degrees. The distinct sites, in fractional coordinates, are Pa at (0.019, 0.124, 0.249), Pa at (0.371, 0.137, 0.064), Si at (0.295, 0.593, 0.021), N at (0.101, 0.639, 0.970), N at (0.108, 0.117, 0.943), N at (0.290, 0.093, 0.346), N at (0.373, 0.032, 0.745) and N at (0.395, 0.704, 0.515).

The density of states at the Fermi level is 5.52 states/eV/cell. The value obtained for the electronic total energy is -303.2 eV for the cell shown. For the size of the total moment, the calculation gives 3.7 μB per cell.

Record 7
A relaxed structure of BeZnAsIr, computed with PBE.

The space group is Cm (No. 8) and the conventional cell measures 8.277, 2.971 and 5.015 Å, with angles of 90.00, 93.76 and 90.00 degrees. The distinct sites, in fractional coordinates, are Be at (0.000, 0.000, 0.000), Zn at (0.282, 0.000, 0.094), As at (0.377, 0.500, 0.580) and Ir at (0.073, 0.500, 0.329).

The density of states at the Fermi level is 1.79 states/eV/cell. For the energy above the most stable polymorph in this dataset, the calculation gives 0.49 eV/f.u. For the size of the total moment, the calculation gives 0.0 μB per cell.

Record 8
A relaxed structure of ErScBi, computed with PBE.

The space group is P2_13 (No. 198) and the conventional cell measures 7.255, 7.255 and 7.255 Å, with angles of 90.00, 90.00 and 90.00 degrees. The distinct sites, in fractional coordinates, are Er at (0.046, 0.046, 0.046), Sc at (0.211, 0.711, 0.789) and Bi at (0.024, 0.976, 0.476).

The density of states at the Fermi level is 16.28 states/eV/cell. The value obtained for the electronic total energy is -58.3 eV for the cell shown. For the size of the total moment, the calculation gives 0.0 μB per cell.

Record 9
A relaxed structure of LiDy2Au4, computed with PBE.

The space group is P4/mmm (No. 123) and the conventional cell measures 4.859, 4.859 and 6.727 Å, with angles of 90.00, 90.00 and 90.00 degrees. The distinct sites, in fractional coordinates, are Li at (0.000, 0.000, 0.000), Dy at (0.000, 0.000, 0.500), Dy at (0.500, 0.500, 0.000) and Au at (0.000, 0.500, 0.249).

The density of states at the Fermi level is 3.86 states/eV/cell. The value obtained for the electronic total energy is -28.7 eV for the cell shown. For the size of the total moment, the calculation gives 0.0 μB per cell.

Record 10
A relaxed structure of Er2AgBr8, computed with PBE.

The space group is C2/m (No. 12) and the conventional cell measures 13.464, 9.695 and 7.585 Å, with angles of 90.00, 90.63 and 90.00 degrees. The distinct sites, in fractional coordinates, are Er at (0.199, 0.000, 0.175), Ag at (0.000, 0.000, 0.500), Br at (0.101, 0.201, 0.348), Br at (0.114, 0.500, 0.756) and Br at (0.168, 0.000, 0.833).

The density of states at the Fermi level is 7.72 states/eV/cell. The value obtained for the electronic total energy is -78.2 eV for the cell shown. For the size of the total moment, the calculation gives 1.8 μB per cell.

Record 11
A relaxed structure of Li2Hg3Br8, computed with PBE.

The space group is C2/c (No. 15) and the conventional cell measures 14.758, 7.440 and 18.151 Å, with angles of 90.00, 100.99 and 90.00 degrees. The distinct sites, in fractional coordinates, are Li at (0.245, 0.181, 0.187), Hg at (0.000, 0.340, 0.750), Hg at (0.177, 0.350, 0.566), Br at (0.108, 0.353, 0.872), Br at (0.114, 0.354, 0.108), Br at (0.141, 0.111, 0.460) and Br at (0.181, 0.138, 0.697).

The density of states at the Fermi level is 0.00 states/eV/cell. The value obtained for the electronic total energy is -111.6 eV for the cell shown. For the size of the total moment, the calculation gives 0.0 μB per cell.

Record 12
A relaxed structure of Si2HgP, computed with PBE.

The space group is P4mm (No. 99) and the conventional cell measures 3.195, 3.195 and 8.140 Å, with angles of 90.00, 90.00 and 90.00 degrees. The distinct sites, in fractional coordinates, are Si at (0.000, 0.000, 0.000), Si at (0.500, 0.500, 0.174), Hg at (0.000, 0.000, 0.512) and P at (0.500, 0.500, 0.880).

The density of states at the Fermi level is 1.80 states/eV/cell. For the energy above the most stable polymorph in this dataset, the calculation gives 0.39 eV/f.u. For the size of the total moment, the calculation gives 0.0 μB per cell.

Record 13
A relaxed structure of SrBi2Ir2, computed with PBE.

The space group is I4/mmm (No. 139) and the conventional cell measures 4.324, 4.324 and 13.730 Å, with angles of 90.00, 90.00 and 90.00 degrees. The distinct sites, in fractional coordinates, are Sr at (0.000, 0.000, 0.000), Bi at (0.000, 0.000, 0.370) and Ir at (0.000, 0.500, 0.250).

The density of states at the Fermi level is 5.62 states/eV/cell. The value obtained for the electronic total energy is -55.1 eV for the cell shown. For the size of the total moment, the calculation gives 0.0 μB per cell.

Record 14
A relaxed structure of CrC2, computed with PBE.

The space group is P-6m2 (No. 187) and the conventional cell measures 2.7072, 2.7072 and 4.0002 Å, with angles of 90.00, 90.00 and 120.00 degrees. The distinct sites, in fractional coordinates, are Cr at (0.0000, 0.0000, 0.0000) and C at (0.6667, 0.3333, 0.3321).

The density of states at the Fermi level is 2.89 states/eV/cell. For the energy above the most stable polymorph in this dataset, the calculation gives 0.45 eV/f.u. For the size of the total moment, the calculation gives 0.0 μB per cell.

Record 15
A relaxed structure of CsSr2Ag, computed with PBE.

The space group is R3m (No. 160, hexagonal axes) and the conventional cell measures 4.7596, 4.7596 and 34.3419 Å, with angles of 90.00, 90.00 and 120.00 degrees. The distinct sites, in fractional coordinates, are Cs at (0.0000, 0.0000, 0.0000), Sr at (0.0000, 0.0000, 0.2162), Sr at (0.0000, 0.0000, 0.4516) and Ag at (0.0000, 0.0000, 0.8341).

The density of states at the Fermi level is 8.54 states/eV/cell. For the energy above the most stable polymorph in this dataset, the calculation gives 0.00 eV/f.u. For the size of the total moment, the calculation gives 0.0 μB per cell.

Record 16
A relaxed structure of Ca2DyTmTe4, computed with PBE.

The space group is P2/m (No. 10) and the conventional cell measures 7.580, 4.380 and 7.727 Å, with angles of 90.00, 109.16 and 90.00 degrees. The distinct sites, in fractional coordinates, are Ca at (0.000, 0.000, 0.000), Ca at (0.500, 0.500, 0.000), Dy at (0.000, 0.500, 0.500), Tm at (0.500, 0.000, 0.500), Te at (0.250, 0.000, 0.744) and Te at (0.255, 0.500, 0.258).

The density of states at the Fermi level is 3.61 states/eV/cell. The value obtained for the electronic total energy is -37.1 eV for the cell shown. For the size of the total moment, the calculation gives 0.0 μB per cell.

Record 17
A relaxed structure of AlRePb2Se, computed with PBE.

The space group is P4/mmm (No. 123) and the conventional cell measures 5.521, 5.521 and 4.657 Å, with angles of 90.00, 90.00 and 90.00 degrees. The distinct sites, in fractional coordinates, are Al at (0.000, 0.000, 0.000), Re at (0.500, 0.500, 0.500), Pb at (0.000, 0.500, 0.500) and Se at (0.500, 0.500, 0.000).

The density of states at the Fermi level is 4.24 states/eV/cell. The value obtained for the electronic total energy is -23.8 eV for the cell shown. For the size of the total moment, the calculation gives 0.0 μB per cell.

Record 18
A relaxed structure of V2CuNi, computed with PBE.

The space group is P4/mmm (No. 123) and the conventional cell measures 2.529, 2.529 and 7.669 Å, with angles of 90.00, 90.00 and 90.00 degrees. The distinct sites, in fractional coordinates, are V at (0.000, 0.000, 0.242), Cu at (0.500, 0.500, 0.500) and Ni at (0.500, 0.500, 0.000).

The density of states at the Fermi level is 2.52 states/eV/cell. The value obtained for the electronic total energy is -28.3 eV for the cell shown. For the size of the total moment, the calculation gives 0.0 μB per cell.

Record 19
A relaxed structure of Ta2SiIr, computed with PBE.

The space group is I-42d (No. 122) and the conventional cell measures 7.063, 7.063 and 5.584 Å, with angles of 90.00, 90.00 and 90.00 degrees. The distinct sites, in fractional coordinates, are Ta at (0.249, 0.750, 0.125), Si at (0.000, 0.000, 0.500) and Ir at (0.000, 0.000, 0.000).

The density of states at the Fermi level is 12.13 states/eV/cell. The value obtained for the electronic total energy is -150.9 eV for the cell shown. For the size of the total moment, the calculation gives 0.0 μB per cell.

Record 20
A relaxed structure of TiGaBr2, computed with PBE.

The space group is Fm-3m (No. 225) and the conventional cell measures 7.144, 7.144 and 7.144 Å, with angles of 90.00, 90.00 and 90.00 degrees. The distinct sites, in fractional coordinates, are Ti at (0.000, 0.000, 0.000), Ga at (0.000, 0.000, 0.500) and Br at (0.250, 0.250, 0.250).

The density of states at the Fermi level is 17.00 states/eV/cell. For the energy above the most stable polymorph in this dataset, the calculation gives 1.76 eV/f.u. For the size of the total moment, the calculation gives 10.9 μB per cell.

Record 21
A relaxed structure of Ac2ThHg, computed with PBE.

The space group is P4/mmm (No. 123) and the conventional cell measures 5.225, 5.225 and 5.079 Å, with angles of 90.00, 90.00 and 90.00 degrees. The distinct sites, in fractional coordinates, are Ac at (0.000, 0.500, 0.000), Th at (0.000, 0.000, 0.500) and Hg at (0.500, 0.500, 0.500).

The density of states at the Fermi level is 6.95 states/eV/cell. For the energy above the most stable polymorph in this dataset, the calculation gives 0.70 eV/f.u. For the size of the total moment, the calculation gives 0.0 μB per cell.

Record 22
A relaxed structure of PHIrS2, computed with PBE.

The space group is P4/mmm (No. 123) and the conventional cell measures 4.335, 4.335 and 3.276 Å, with angles of 90.00, 90.00 and 90.00 degrees. The distinct sites, in fractional coordinates, are P at (0.000, 0.000, 0.000), H at (0.000, 0.000, 0.500), Ir at (0.500, 0.500, 0.000) and S at (0.000, 0.500, 0.500).

The density of states at the Fermi level is 1.92 states/eV/cell. For the energy above the most stable polymorph in this dataset, the calculation gives 0.00 eV/f.u. For the size of the total moment, the calculation gives 0.0 μB per cell.

Record 23
A relaxed structure of PuTh12Bi6, computed with PBE.

The space group is R-3 (No. 148, hexagonal axes) and the conventional cell measures 13.5959, 13.5959 and 12.3080 Å, with angles of 90.00, 90.00 and 120.00 degrees. The distinct sites, in fractional coordinates, are Pu at (0.0000, 0.0000, 0.0000), Th at (0.0285, 0.8479, 0.3898), Th at (0.0585, 0.8871, 0.8750) and Bi at (0.0365, 0.6190, 0.3103).

The density of states at the Fermi level is 80.45 states/eV/cell. The value obtained for the electronic total energy is -383.5 eV for the cell shown. For the size of the total moment, the calculation gives 0.0 μB per cell.

Record 24
A relaxed structure of MoIr2Se, computed with PBE.

The space group is I4/mmm (No. 139) and the conventional cell measures 3.932, 3.932 and 7.997 Å, with angles of 90.00, 90.00 and 90.00 degrees. The distinct sites, in fractional coordinates, are Mo at (0.000, 0.000, 0.000), Ir at (0.000, 0.500, 0.250) and Se at (0.000, 0.000, 0.500).

The density of states at the Fermi level is 6.36 states/eV/cell. The value obtained for the electronic total energy is -61.3 eV for the cell shown. For the size of the total moment, the calculation gives 0.0 μB per cell.